[1]
The following is a PBE calculation of crystalline ScAg2I5 at its relaxed geometry, from the Alexandria database.

Unit cell a=7.3774 b=7.8122 c=7.8124 alpha=69.72 beta=67.91 gamma=67.90
Sites, in units of the cell vectors:
I (0.6988, 0.2596, 0.2596)
I (0.7208, 0.9247, 0.9247)
I (0.1140, 0.7883, 0.3366)
I (0.3554, 0.7570, 0.7570)
Ag (0.4866, 0.0943, 0.6194)
I (0.1140, 0.3366, 0.7883)
Sc (0.0237, 0.9970, 0.9971)
Ag (0.4867, 0.6195, 0.0943)

Output
Formation energy (no corrections) = -0.67 eV per atom
Offset from the most stable computed form = 0 meV/atom
DFT total energy = -3.146 eV/atom

***

[2]
The following is a PBE calculation of crystalline Hf2CoHgH at its relaxed geometry, from the Alexandria database.

Unit cell a=4.6412 b=4.6412 c=3.5099 alpha=90.00 beta=90.00 gamma=90.00
Sites, in units of the cell vectors:
Co (0.0000, 0.0000, 0.5000)
H (0.0000, 0.0000, 0.0000)
Hf (0.0000, 0.5000, 0.0000)
Hf (0.5000, 0.0000, 0.0000)
Hg (0.5000, 0.5000, 0.5000)

Output
DFT total energy = -6.252 eV/atom

***

[3]
The following is a PBE calculation of crystalline Sm2TcO8 at its relaxed geometry, from the Alexandria database.

Unit cell a=3.9431 b=4.8011 c=7.3172 alpha=105.60 beta=105.63 gamma=90.00
Sites, in units of the cell vectors:
O (0.4560, 0.5434, 0.9119)
O (0.2415, 0.2824, 0.4830)
O (0.6289, 0.0266, 0.2578)
Sm (0.1759, 0.6863, 0.3518)
O (0.3711, 0.9734, 0.7422)
Tc (0.5000, 0.0000, 0.0000)
O (0.9888, 0.7890, 0.9777)
Sm (0.8241, 0.3137, 0.6482)
O (0.7585, 0.7176, 0.5170)
O (0.0112, 0.2110, 0.0223)
O (0.5440, 0.4566, 0.0881)

Output
Formation energy (no corrections) = -1.73 eV per atom
Offset from the most stable computed form = 28 meV/atom
DFT total energy = -7.134 eV/atom

***

[4]
The following is a PBE calculation of crystalline PrLuOs at its relaxed geometry, from the Alexandria database.

Unit cell a=4.8302 b=4.8302 c=4.8302 alpha=60.00 beta=60.00 gamma=60.00
Sites, in units of the cell vectors:
Lu (0.0000, 0.0000, 0.0000)
Pr (0.5000, 0.5000, 0.5000)
Os (0.2500, 0.2500, 0.2500)

Output
E_form = -0.113 eV per atom
Offset from the most stable computed form = 35 meV/atom
DFT total energy = -6.957 eV/atom

***

[5]
The following is a PBE calculation of crystalline AcPrYCd at its relaxed geometry, from the Alexandria database.

Unit cell a=3.8276 b=3.8276 c=9.0775 alpha=90.00 beta=90.00 gamma=90.00
Sites, in units of the cell vectors:
Ac (0.0000, 0.0000, 0.0783)
Y (0.5000, 0.5000, 0.3644)
Pr (0.5000, 0.5000, 0.7832)
Cd (0.0000, 0.0000, 0.5589)

Output
E_form = -0.142 eV per atom
Offset from the most stable computed form = 0 meV/atom
DFT total energy = -4.209 eV/atom

***

[6]
The following is a PBE calculation of crystalline Tb5Pm12In2 at its relaxed geometry, from the Alexandria database.

Unit cell a=9.3627 b=9.0754 c=8.5909 alpha=92.71 beta=90.00 gamma=121.05
Sites, in units of the cell vectors:
Pm (0.4298, 0.2485, 0.6643)
Tb (0.3113, 0.6226, 0.9891)
Tb (0.6887, 0.3774, 0.0109)
Pm (0.9190, 0.8380, 0.1157)
Pm (0.1813, 0.7515, 0.3357)
In (0.6764, 0.0000, 0.0000)
Pm (0.3333, 0.2963, 0.2347)
In (0.3236, 0.0000, 0.0000)
Pm (0.9630, 0.2963, 0.2347)
Tb (0.0000, 0.0000, 0.5000)
Pm (0.4432, 0.8864, 0.6768)
Pm (0.0810, 0.1620, 0.8843)
Pm (0.5568, 0.1136, 0.3232)
Pm (0.6667, 0.7037, 0.7653)
Tb (0.7682, 0.5363, 0.4182)
Pm (0.5702, 0.7515, 0.3357)
Tb (0.2318, 0.4637, 0.5818)
Pm (0.0370, 0.7037, 0.7653)
Pm (0.8187, 0.2485, 0.6643)

Output
E_form = -0.014 eV per atom
DFT total energy = -4.521 eV/atom

***

[7]
The following is a PBE calculation of crystalline BaInCo at its relaxed geometry, from the Alexandria database.

Unit cell a=4.9283 b=4.9283 c=4.9283 alpha=60.00 beta=60.00 gamma=60.00
Sites, in units of the cell vectors:
In (0.0000, 0.0000, 0.0000)
Co (0.7500, 0.7500, 0.7500)
Ba (0.5000, 0.5000, 0.5000)

Output
E_form = 0.335 eV per atom
DFT total energy = -3.588 eV/atom

***

[8]
The following is a PBE calculation of crystalline Li2Ag4Au at its relaxed geometry, from the Alexandria database.

Unit cell a=6.7945 b=6.7945 c=5.5095 alpha=128.67 beta=128.61 gamma=89.27
Sites, in units of the cell vectors:
Au (0.9995, 0.9995, 0.9990)
Ag (0.7078, 0.7078, 0.0002)
Li (0.7501, 0.2501, 0.5001)
Li (0.2500, 0.7500, 0.5001)
Ag (0.2924, 0.2924, 0.0002)
Ag (0.2972, 0.7029, 0.0001)
Ag (0.7030, 0.2974, 0.0003)

Output
E_form = -0.012 eV per atom
Offset from the most stable computed form = 99 meV/atom
DFT total energy = -2.656 eV/atom

***

[9]
The following is a PBE calculation of crystalline ZrRe2Ag at its relaxed geometry, from the Alexandria database.

Unit cell a=5.5243 b=5.5243 c=2.7393 alpha=79.13 beta=79.13 gamma=119.40
Sites, in units of the cell vectors:
Re (0.0000, 0.0000, 0.0000)
Re (0.5000, 0.5000, 0.0000)
Ag (0.0000, 0.5000, 0.5000)
Zr (0.5000, 0.0000, 0.5000)

Output
E_form = 0.309 eV per atom
Offset from the most stable computed form = 192 meV/atom
DFT total energy = -8.765 eV/atom

***

[10]
The following is a PBE calculation of crystalline HoTm4Cu5 at its relaxed geometry, from the Alexandria database.

Unit cell a=3.4007 b=3.4007 c=17.3231 alpha=90.00 beta=90.00 gamma=90.00
Sites, in units of the cell vectors:
Cu (0.5000, 0.5000, 0.8978)
Cu (0.5000, 0.5000, 0.3006)
Ho (0.0000, 0.0000, 0.0000)
Tm (0.0000, 0.0000, 0.7989)
Cu (0.5000, 0.5000, 0.5000)
Cu (0.5000, 0.5000, 0.1022)
Tm (0.0000, 0.0000, 0.5997)
Tm (0.0000, 0.0000, 0.4003)
Cu (0.5000, 0.5000, 0.6994)
Tm (0.0000, 0.0000, 0.2011)

Output
E_form = -0.290 eV per atom
DFT total energy = -4.585 eV/atom

***

[11]
The following is a PBE calculation of crystalline KPm4Bi3O12 at its relaxed geometry, from the Alexandria database.

Unit cell a=7.6165 b=7.6165 c=7.6165 alpha=109.47 beta=109.47 gamma=109.47
Sites, in units of the cell vectors:
O (0.1806, 0.8630, 0.6824)
O (0.6824, 0.8194, 0.5018)
Bi (0.5000, 0.5000, 0.0000)
O (0.3176, 0.1806, 0.4982)
Bi (0.0000, 0.5000, 0.5000)
O (0.6824, 0.1806, 0.8630)
O (0.5018, 0.6824, 0.8194)
O (0.8194, 0.5018, 0.6824)
K (0.0000, 0.0000, 0.0000)
O (0.8194, 0.1370, 0.3176)
O (0.1806, 0.4982, 0.3176)
Pm (0.0000, 0.0000, 0.5000)
Pm (0.5000, 0.5000, 0.5000)
Pm (0.5000, 0.0000, 0.0000)
O (0.4982, 0.3176, 0.1806)
O (0.1370, 0.3176, 0.8194)
O (0.8630, 0.6824, 0.1806)
Bi (0.5000, 0.0000, 0.5000)
O (0.3176, 0.8194, 0.1370)
Pm (0.0000, 0.5000, 0.0000)

Output
Formation energy (no corrections) = -2.14 eV per atom
DFT total energy = -6.700 eV/atom

***

[12]
The following is a PBE calculation of crystalline SrB at its relaxed geometry, from the Alexandria database.

Unit cell a=5.0019 b=5.0019 c=5.8650 alpha=90.00 beta=90.00 gamma=120.00
Sites, in units of the cell vectors:
B (0.6667, 0.3333, 0.7500)
B (0.3333, 0.6667, 0.2500)
Sr (0.6667, 0.3333, 0.2500)
Sr (0.3333, 0.6667, 0.7500)

Output
E_form = 1.354 eV per atom
Offset from the most stable computed form = 1374 meV/atom
DFT total energy = -2.826 eV/atom

***

[13]
The following is a PBE calculation of crystalline MnNb2Pt2 at its relaxed geometry, from the Alexandria database.

Unit cell a=3.7982 b=4.9503 c=4.9983 alpha=81.81 beta=67.67 gamma=67.44
Sites, in units of the cell vectors:
Nb (0.5841, 0.6296, 0.2022)
Nb (0.4159, 0.3704, 0.7978)
Pt (0.2058, 0.2040, 0.3844)
Pt (0.7942, 0.7960, 0.6156)
Mn (0.0000, 0.0000, 0.0000)

Output
E_form = -0.402 eV per atom
Offset from the most stable computed form = 0 meV/atom
DFT total energy = -8.680 eV/atom

***

[14]
The following is a PBE calculation of crystalline Ta2CoB2 at its relaxed geometry, from the Alexandria database.

Unit cell a=3.2533 b=4.6283 c=4.6283 alpha=60.77 beta=69.42 gamma=69.42
Sites, in units of the cell vectors:
Ta (0.7926, 0.7074, 0.7074)
B (0.5000, 0.2967, 0.7033)
B (0.5000, 0.7033, 0.2967)
Co (0.0000, 0.0000, 0.0000)
Ta (0.2074, 0.2926, 0.2926)

Output
E_form = -0.687 eV per atom
Offset from the most stable computed form = 0 meV/atom
DFT total energy = -9.520 eV/atom

***

[15]
The following is a PBE calculation of crystalline Li2CaPS4 at its relaxed geometry, from the Alexandria database.

Unit cell a=6.5028 b=5.9196 c=5.9196 alpha=78.06 beta=56.68 gamma=56.68
Sites, in units of the cell vectors:
S (0.6104, 0.5267, 0.8629)
S (0.0000, 0.4733, 0.1371)
Li (0.5000, 0.7498, 0.2502)
S (0.0000, 0.8629, 0.5267)
S (0.3896, 0.1371, 0.4733)
Ca (0.0000, 0.0000, 0.0000)
Li (0.5000, 0.2502, 0.7498)
P (0.0000, 0.5000, 0.5000)

Output
Formation energy (no corrections) = -0.99 eV per atom
DFT total energy = -4.458 eV/atom

***

[16]
The following is a PBE calculation of crystalline SrTl2W at its relaxed geometry, from the Alexandria database.

Unit cell a=5.4296 b=5.4296 c=5.4296 alpha=60.00 beta=60.00 gamma=60.00
Sites, in units of the cell vectors:
W (0.7500, 0.7500, 0.7500)
Sr (0.5000, 0.5000, 0.5000)
Tl (0.2500, 0.2500, 0.2500)
Tl (0.0000, 0.0000, 0.0000)

Output
E_form = 0.989 eV per atom
Offset from the most stable computed form = 381 meV/atom
DFT total energy = -3.853 eV/atom

***

[17]
The following is a PBE calculation of crystalline CrFe2Pd7 at its relaxed geometry, from the Alexandria database.

Unit cell a=4.2058 b=7.1551 c=7.1551 alpha=119.22 beta=90.00 gamma=90.00
Sites, in units of the cell vectors:
Cr (0.0000, 0.0000, 0.0000)
Fe (0.5000, 0.3018, 0.6982)
Pd (0.5000, 0.5000, 0.5000)
Pd (0.5000, 0.9260, 0.7000)
Fe (0.5000, 0.6982, 0.3018)
Pd (0.5000, 0.0740, 0.3000)
Pd (0.0000, 0.2098, 0.7902)
Pd (0.5000, 0.3000, 0.0740)
Pd (0.5000, 0.7000, 0.9260)
Pd (0.0000, 0.7902, 0.2098)

Output
E_form = 0.486 eV per atom
DFT total energy = -5.804 eV/atom

***

[18]
The following is a PBE calculation of crystalline ZrHg2 at its relaxed geometry, from the Alexandria database.

Unit cell a=4.7581 b=4.7580 c=4.8011 alpha=119.70 beta=119.72 gamma=90.00
Sites, in units of the cell vectors:
Hg (0.7502, 0.2500, 0.5000)
Hg (0.2498, 0.7500, 0.5000)
Zr (0.0000, 0.0000, 0.0000)

Output
E_form = 0.205 eV per atom
DFT total energy = -2.846 eV/atom

***

[19]
The following is a PBE calculation of crystalline Sm6C2Br3F at its relaxed geometry, from the Alexandria database.

Unit cell a=6.5383 b=6.5383 c=7.6220 alpha=98.23 beta=98.23 gamma=120.10
Sites, in units of the cell vectors:
Br (0.8321, 0.1679, 0.5000)
F (0.0000, 0.0000, 0.0000)
Sm (0.2872, 0.2872, 0.8164)
C (0.6661, 0.3339, 0.0000)
Br (0.5000, 0.5000, 0.5000)
C (0.3339, 0.6661, 0.0000)
Sm (0.0609, 0.4103, 0.1839)
Br (0.1679, 0.8321, 0.5000)
Sm (0.7128, 0.7128, 0.1836)
Sm (0.5897, 0.9391, 0.8162)
Sm (0.4103, 0.0609, 0.1839)
Sm (0.9391, 0.5897, 0.8162)

Output
Formation energy (no corrections) = -1.17 eV per atom
DFT total energy = -5.640 eV/atom

***

[20]
The following is a PBE calculation of crystalline CsRbOsO4 at its relaxed geometry, from the Alexandria database.

Unit cell a=6.7653 b=6.7653 c=6.4437 alpha=121.67 beta=121.67 gamma=90.00
Sites, in units of the cell vectors:
Cs (0.0000, 0.0000, 0.0000)
O (0.4789, 0.6224, 0.6289)
O (0.3776, 0.8500, 0.3711)
Os (0.2500, 0.7500, 0.5000)
O (0.1500, 0.0065, 0.6289)
O (0.9935, 0.5211, 0.3711)
Rb (0.5000, 0.5000, 0.0000)

Output
Formation energy (no corrections) = -1.38 eV per atom
DFT total energy = -6.075 eV/atom